The following is a PBE-GGA calculation of a relaxed Cs2ScPd3F12 crystal, from the Alexandria database.

abc: 7.876 7.876 7.876
angles: 58.17 58.17 58.17
Last column: magnetic moment on the atom in μB.
Fractional coordinates of all 18 atoms:
F 0.929 0.929 0.313  0.08
F 0.929 0.330 0.330  0.12
Pd 0.000 0.000 0.500  1.22
F 0.071 0.670 0.670  0.12
F 0.330 0.330 0.929  0.12
F 0.670 0.071 0.670  0.12
F 0.670 0.670 0.071  0.12
F 0.071 0.071 0.687  0.08
Cs 0.627 0.627 0.627  0.00
F 0.330 0.929 0.330  0.12
Sc 0.000 0.000 0.000  0.03
F 0.929 0.313 0.929  0.08
Pd 0.000 0.500 0.000  1.22
F 0.071 0.687 0.071  0.08
F 0.687 0.071 0.071  0.08
Pd 0.500 0.000 0.000  1.22
Cs 0.373 0.373 0.373  0.00
F 0.313 0.929 0.929  0.08

Properties
The density of states at the Fermi level comes out at 0.050 states/eV/atom. The calculation puts the total energy at -4.7651 eV per atom. For the energy relative to the elements, uncorrected, the calculation gives -2.21 eV/atom.